This record from Alexandria describes a crystal of Cd2TcAg relaxed with PBEsol. The functional is meta-GGA SCAN.

Properties
DOS(E_F) ... 0.481 states/eV per atom
Space-group type ... F-43m (216)
V ... 70 Å³/cell
E ... -125.4 eV/cell
E_form ... 45 kJ per mole of atoms

Unit cell a=4.622 b=4.622 c=4.622 alpha=60.00 beta=60.00 gamma=60.00
Each line ends with the local moment (μB).
Atoms (fractional coordinates):
Cd (0.000, 0.000, 0.000)  -0.03
Cd (0.250, 0.250, 0.250)  -0.04
Ag (0.500, 0.500, 0.500)  0.03
Tc (0.750, 0.750, 0.750)  2.58